CrReW2 after structural relaxation, computed with GGA-PBEsol.

```
4
Lattice="2.679 0.000 0.000 0.000 4.302 0.000 -0.891 0.000 5.012" Properties=species:S:1:pos:R:3 pbc="T T T"
Cr 0.000 0.000 0.000
Re 0.894 0.000 2.506
W -0.020 2.151 3.784
W 1.807 2.151 1.228
```

- M_tot (Bohr magnetons per cell) = 0.00
- energy above the lowest structure with this stoichiometry (eV per atom) = 0.056
- energy of formation (eV/atom) = 0.097